No. 1
The following is a SCAN calculation of a PBEsol-optimized structure of CaZr2CuN, from Alexandria.

Output
The value obtained for the raw total energy is -19.27 eV/atom. The value obtained for the density of states at the Fermi level is 0.900 states/eV per atom. The volume comes out at 18.1 Å³/atom. For the formation energy (no corrections), the calculation gives -155 meV/atom.

Cell lengths 4.4022, 4.4022, 4.6605 Å; angles 90.00, 90.00, 90.00 degrees
With the nearest neighbours (Å) after each atom.
Space group P4/mmm (No. 123)
Asymmetric unit:
Ca (0.0000, 0.0000, 0.0000) (multiplicity 1)  4 Cu 3.11, 8 Zr 3.21
Zr (0.0000, 0.5000, 0.5000) (multiplicity 2)  2 N 2.20
Cu (0.5000, 0.5000, 0.0000) (multiplicity 1)  2 N 2.33
N (0.5000, 0.5000, 0.5000) (multiplicity 1)  4 Zr 2.20, 2 Cu 2.33

No. 2
The following is a SCAN calculation of a PBEsol-optimized structure of NaCaCuPt2, from Alexandria.

Output
The value obtained for the raw total energy is -32.99 eV/atom. The formation energy comes out at 0.90 eV per atom. The value obtained for the density of states at the Fermi level is 0.488 states/eV per atom. The volume comes out at 25.0 Å³/atom.

Cell lengths 5.0124, 5.0124, 4.9700 Å; angles 90.00, 90.00, 90.00 degrees
With the nearest neighbours (Å) after each atom.
Space group P4/mmm (No. 123)
Asymmetric unit:
Na (0.0000, 0.0000, 0.0000) (multiplicity 1)  8 Pt 3.53, 4 Cu 3.54
Ca (0.5000, 0.5000, 0.5000) (multiplicity 1)  2 Cu 2.49, 4 Pt 2.51
Cu (0.5000, 0.5000, 0.0000) (multiplicity 1)  2 Ca 2.49
Pt (0.0000, 0.5000, 0.5000) (multiplicity 2)  2 Ca 2.51

No. 3
The following is a SCAN calculation of a PBEsol-optimized structure of NaCaZn2Cu, from Alexandria.

Output
The value obtained for the raw total energy is -10.03 eV/atom. The formation energy comes out at 1.19 eV per atom. The value obtained for the density of states at the Fermi level is 0.502 states/eV per atom. The volume comes out at 36.9 Å³/atom.

Cell lengths 5.5033, 5.5033, 6.0965 Å; angles 90.00, 90.00, 90.00 degrees
With the nearest neighbours (Å) after each atom.
Space group P4/mmm (No. 123)
Asymmetric unit:
Na (0.0000, 0.0000, 0.0000) (multiplicity 1)  2 Ca 3.05
Ca (0.0000, 0.0000, 0.5000) (multiplicity 1)  4 Zn 2.75, 2 Na 3.05
Zn (0.0000, 0.5000, 0.5000) (multiplicity 2)  2 Ca 2.75
Cu (0.5000, 0.5000, 0.0000) (multiplicity 1)  4 Na 3.89, 8 Zn 4.11

No. 4
The following is a SCAN calculation of a PBEsol-optimized structure of CaNbCu3, from Alexandria.

Output
The value obtained for the raw total energy is -16.88 eV/atom. The formation energy comes out at 0.80 eV per atom. The value obtained for the density of states at the Fermi level is 0.746 states/eV per atom. The volume comes out at 21.5 Å³/atom.

Cell lengths 4.7571, 4.7571, 4.7571 Å; angles 90.00, 90.00, 90.00 degrees
With the nearest neighbours (Å) after each atom.
Space group Pm-3m (No. 221)
Asymmetric unit:
Ca (0.0000, 0.0000, 0.0000) (multiplicity 1)  12 Cu 3.36
Nb (0.5000, 0.5000, 0.5000) (multiplicity 1)  6 Cu 2.38
Cu (0.0000, 0.5000, 0.5000) (multiplicity 3)  2 Nb 2.38

Question: Look up the volume of the fourth one.
Answer: 21.5 Å³/atom

What did the fourth record say?
The following is a SCAN calculation of a PBEsol-optimized structure of CaNbCu3, from Alexandria.

Output
The value obtained for the raw total energy is -16.88 eV/atom. The formation energy comes out at 0.80 eV per atom. The value obtained for the density of states at the Fermi level is 0.746 states/eV per atom. The volume comes out at 21.5 Å³/atom.

Cell lengths 4.7571, 4.7571, 4.7571 Å; angles 90.00, 90.00, 90.00 degrees
With the nearest neighbours (Å) after each atom.
Space group Pm-3m (No. 221)
Asymmetric unit:
Ca (0.0000, 0.0000, 0.0000) (multiplicity 1)  12 Cu 3.36
Nb (0.5000, 0.5000, 0.5000) (multiplicity 1)  6 Cu 2.38
Cu (0.0000, 0.5000, 0.5000) (multiplicity 3)  2 Nb 2.38

Question: volume of number 3 (NaCaZn2Cu)?
Answer: 36.9 Å³/atom

Question: The lowest raw total energy belongs to which entry?
Answer: NaCaCuPt2